BeIn2Te (GGA-PBE, optimized geometry); total DFT energy (no corrections) = -11.4 eV/f.u.; formation energy without anion corrections = 0.233 eV/atom; space-group type = No. 35; size of the total moment = 0.00 μB/atom; E above lowest polymorph = 171 meV/atom; crystal system = orthorhombic
1.0
-1.960 -2.692 -1.482
2.750 1.273 -2.024
5.372 -5.889 3.595
Te In Be
1 2 1
direct
0.000 0.000 0.573
0.000 0.000 0.948
0.500 0.500 0.247
0.500 0.500 0.732

---

BeIn2Te (GGA-PBE, optimized geometry); total DFT energy (no corrections) = -11.7 eV/f.u.; formation energy without anion corrections = 0.153 eV/atom; space-group type = No. 99; size of the total moment = 0.00 μB/atom; E above lowest polymorph = 91 meV/atom; crystal system = tetragonal
1.0
3.667 0.000 0.000
0.000 3.667 0.000
0.000 0.000 7.681
In Be Te
2 1 1
direct
0.000 0.000 0.027
0.500 0.500 0.249
0.500 0.500 0.578
0.000 0.000 0.646

---

Be2InTe (GGA-PBE, optimized geometry); total DFT energy (no corrections) = -11.7 eV/f.u.; formation energy without anion corrections = 0.414 eV/atom; space-group type = No. 44; size of the total moment = 0.00 μB/atom; E above lowest polymorph = 107 meV/atom; crystal system = orthorhombic
1.0
-5.086 1.048 4.218
-4.802 -3.838 2.640
6.482 0.784 -1.461
Be Te In
2 1 1
direct
0.818 0.318 0.500
0.912 0.912 0.000
0.258 0.758 0.500
0.512 0.512 0.000

---

> Which of these has the lowest E above lowest polymorph?

number 2

---

> The lowest formation energy without anion corrections belongs to which entry?

number 2